First-principles (GGA-PBE) data for a relaxed structure of SmAl6Pt4, as listed in the Open Quantum Materials Database.

Electronic total energy ... -5.707 eV/atom
Volume ... 188 Å³/cell

Cell lengths 7.3212, 7.3212, 4.0408 Å; angles 90.00, 90.00, 120.00 degrees
Space group P-6m2 (No. 187)
Unique sites:
Sm: 0.0000 0.0000 0.0000 x1
Al: 0.1994 0.3989 0.5000 x3
Al: 0.5332 0.0665 0.0000 x3
Pt: 0.3333 0.6667 0.0000 x1
Pt: 0.4005 0.2002 0.5000 x3

First-principles (GGA-PBE) data for a relaxed structure of PmSbSe, as listed in the Open Quantum Materials Database.

Electronic total energy ... -5.490 eV/atom
Volume ... 322 Å³/cell

Cell lengths 4.1993, 4.1993, 18.2866 Å; angles 90.00, 90.00, 90.00 degrees
Space group I4/mmm (No. 139)
Unique sites:
Pm: 0.0000 0.0000 0.1489 x4
Sb: 0.0000 0.5000 0.0000 x4
Se: 0.0000 0.0000 0.3131 x4

First-principles (GGA-PBE) data for a relaxed structure of LuHf2Ge, as listed in the Open Quantum Materials Database.

Electronic total energy ... -7.243 eV/atom
Volume ... 340 Å³/cell

Cell lengths 6.9789, 6.9789, 6.9789 Å; angles 90.00, 90.00, 90.00 degrees
Space group F-43m (No. 216)
Unique sites:
Lu: 0.0000 0.0000 0.0000 x4
Hf: 0.0000 0.0000 0.5000 x4
Hf: 0.2500 0.2500 0.2500 x4
Ge: 0.2500 0.2500 0.7500 x4

First-principles (GGA-PBE) data for a relaxed structure of DyHfSc, as listed in the Open Quantum Materials Database.

Electronic total energy ... -6.064 eV/atom
Volume ... 357 Å³/cell

Cell lengths 7.0911, 7.0911, 7.0911 Å; angles 90.00, 90.00, 90.00 degrees
Space group F-43m (No. 216)
Unique sites:
Dy: 0.0000 0.0000 0.0000 x4
Hf: 0.2500 0.2500 0.2500 x4
Sc: 0.0000 0.0000 0.5000 x4